K2SrTl12Cd3 | PBE | relaxed

Geometry as CIF:
```
data_K2SrTl12Cd3
_cell_length_a 7.8131
_cell_length_b 7.8131
_cell_length_c 36.1707
_cell_angle_alpha 90.00
_cell_angle_beta 90.00
_cell_angle_gamma 120.00
_space_group_name_H-M_alt 'R -3 m'
_space_group_IT_number 166
_space_group_name_Hall '-R 3 2"'
loop_
_atom_site_label
_atom_site_fract_x
_atom_site_fract_y
_atom_site_fract_z
_atom_site_occupancy
K1 0.0000 0.0000 0.1361 1
Sr1 0.0000 0.0000 0.5000 1
Tl1 0.0406 0.5203 0.8954 1
Tl2 0.0620 0.5310 0.6213 1
Cd1 0.0000 0.5000 0.0000 1
```

V = 1912.20 Å³ per cell
Formation energy from the elements = 46 meV/atom
N(E_F) = 8.75 states/eV/f.u.